Entry 1:
Here is Ce4OsC after structural relaxation from Alexandria via LeMat-Bulk. Energies are from PBE.

As for the formation energy from the elements: -0.0766 eV per atom. The total DFT energy (no corrections) is -0.5469 Ry/atom. The value obtained for the total magnetic moment is 0.01 Bohr magnetons per cell.

The structure belongs to space group Cmc2_1 (No. 36); the cell edges are 4.595, 17.888 and 6.385 Å and the angles 90.00°, 90.00° and 90.00°. The inequivalent atoms are Ce at (0.000, 0.051, 0.000), Ce at (0.000, 0.200, 0.345), Ce at (0.000, 0.200, 0.818), Ce at (0.000, 0.435, 0.024), Os at (0.000, 0.357, 0.595) and C at (0.000, 0.087, 0.604).

=====

Entry 2:
Here is Li2CuNi after structural relaxation from Alexandria via LeMat-Bulk. Energies are from PBE.

As for the formation energy from the elements: 0.0723 eV per atom. The total DFT energy (no corrections) is -0.2465 Ry/atom. The value obtained for the total magnetic moment is 0.00 Bohr magnetons per cell.

The structure belongs to space group P4/mmm (No. 123); the cell edges are 3.020, 3.020 and 5.249 Å and the angles 90.00°, 90.00° and 90.00°. The inequivalent atoms are Li at (0.000, 0.000, 0.244), Cu at (0.500, 0.500, 0.500) and Ni at (0.500, 0.500, 0.000).

=====

Entry 3:
Here is Tb8As4PS3 after structural relaxation from Alexandria via LeMat-Bulk. Energies are from PBE.

As for the formation energy (no corrections): -1.76 eV per atom. The total DFT energy (no corrections) is -0.4670 Ry/atom. The value obtained for the total magnetic moment is 0.00 Bohr magnetons per cell.

The structure belongs to space group R-3m (No. 166, hexagonal axes); the cell edges are 8.1109, 8.1109 and 19.8024 Å and the angles 90.00°, 90.00° and 120.00°. The inequivalent atoms are Tb at (0.0000, 0.0000, 0.2499), Tb at (0.0032, 0.5016, 0.2488), As at (0.0000, 0.0000, 0.0000), As at (0.0000, 0.5000, 0.0000), P at (0.0000, 0.0000, 0.5000) and S at (0.0000, 0.5000, 0.5000).

=====

Entry 4:
Here is Ac6CdPb2 after structural relaxation from Alexandria via LeMat-Bulk. Energies are from PBE.

As for the formation energy from the elements: -0.1442 eV per atom. The total DFT energy (no corrections) is -0.2799 Ry/atom. The value obtained for the total magnetic moment is 0.01 Bohr magnetons per cell.

The structure belongs to space group Immm (No. 71); the cell edges are 5.673, 8.037 and 16.900 Å and the angles 90.00°, 90.00° and 90.00°. The inequivalent atoms are Ac at (0.000, 0.240, 0.000), Ac at (0.000, 0.253, 0.336), Cd at (0.000, 0.500, 0.500) and Pb at (0.000, 0.500, 0.166).